This record from the Alexandria database describes a relaxed La2SmSn crystal. The functional is GGA-PBE.

Cell lengths 6.9047, 8.9239, 8.3392 Å; angles 90.00, 90.00, 90.00 degrees
Last column: nearest neighbours and their distance in Å.
Element x y z (fractional)
La1 0.2500 0.0435 0.2500  3 La 3.45-3.69, 4 Sm 3.48-3.67, 4 Sn 3.52-3.58
La2 0.2500 0.4565 0.2500  3 La 3.45-3.69, 4 Sm 3.48-3.67, 4 Sn 3.52-3.58
La3 0.2500 0.5435 0.7500  3 La 3.45-3.69, 4 Sm 3.48-3.67, 4 Sn 3.52-3.58
La4 0.2500 0.9565 0.7500  3 La 3.45-3.69, 4 Sm 3.48-3.67, 4 Sn 3.52-3.58
La5 0.7500 0.0435 0.2500  3 La 3.45-3.69, 4 Sm 3.48-3.67, 4 Sn 3.52-3.58
La6 0.7500 0.4565 0.2500  3 La 3.45-3.69, 4 Sm 3.48-3.67, 4 Sn 3.52-3.58
La7 0.7500 0.5435 0.7500  3 La 3.45-3.69, 4 Sm 3.48-3.67, 4 Sn 3.52-3.58
La8 0.7500 0.9565 0.7500  3 La 3.45-3.69, 4 Sm 3.48-3.67, 4 Sn 3.52-3.58
Sm1 0.0000 0.2500 0.5687  3 Sn 3.24-3.46, 4 La 3.48
Sm2 0.0000 0.7500 0.4313  3 Sn 3.24-3.46, 4 La 3.48
Sm3 0.5000 0.2500 0.9313  3 Sn 3.24-3.46, 4 La 3.48
Sm4 0.5000 0.7500 0.0687  3 Sn 3.24-3.46, 4 La 3.48
Sn1 0.0000 0.2500 0.9567  3 Sm 3.24-3.46, 8 La 3.52-3.58
Sn2 0.0000 0.7500 0.0433  3 Sm 3.24-3.46, 8 La 3.52-3.58
Sn3 0.5000 0.2500 0.5433  3 Sm 3.24-3.46, 8 La 3.52-3.58
Sn4 0.5000 0.7500 0.4567  3 Sm 3.24-3.46, 8 La 3.52-3.58

## Properties
The total moment comes out at 0.00 Bohr magnetons per cell. The formation energy is -41.6 kJ/mol of atoms. The excess energy over the best structure of this formula in the dataset comes out at 40 meV/atom. The value obtained for the energy is -81.21 eV/cell.

This record from the Alexandria database describes a relaxed LaSm5Sn2 crystal. The functional is GGA-PBE.

Cell lengths 4.6882, 9.9190, 11.4175 Å; angles 90.00, 90.00, 90.00 degrees
Last column: nearest neighbours and their distance in Å.
Element x y z (fractional)
La1 0.0000 0.0000 0.0000  4 Sn 3.37
La2 0.5000 0.5000 0.5000  4 Sn 3.37
Sm1 0.0000 0.1855 0.3431  3 Sn 3.18-3.33, 4 Sm 3.41-3.48
Sm2 0.0000 0.1855 0.6569  3 Sn 3.18-3.33, 4 Sm 3.41-3.48
Sm3 0.0000 0.5000 0.0000  2 Sn 3.29, 8 Sm 3.48
Sm4 0.0000 0.8145 0.3431  3 Sn 3.18-3.33, 4 Sm 3.41-3.48
Sm5 0.0000 0.8145 0.6569  3 Sn 3.18-3.33, 4 Sm 3.41-3.48
Sm6 0.5000 0.0000 0.5000  2 Sn 3.29, 8 Sm 3.48
Sm7 0.5000 0.3145 0.1569  3 Sn 3.18-3.33, 4 Sm 3.41-3.48
Sm8 0.5000 0.3145 0.8431  3 Sn 3.18-3.33, 4 Sm 3.41-3.48
Sm9 0.5000 0.6855 0.1569  3 Sn 3.18-3.33, 4 Sm 3.41-3.48
Sm10 0.5000 0.6855 0.8431  3 Sn 3.18-3.33, 4 Sm 3.41-3.48
Sn1 0.0000 0.5000 0.2880  7 Sm 3.18-3.33, 2 La 3.37
Sn2 0.0000 0.5000 0.7120  7 Sm 3.18-3.33, 2 La 3.37
Sn3 0.5000 0.0000 0.2120  7 Sm 3.18-3.33, 2 La 3.37
Sn4 0.5000 0.0000 0.7880  7 Sm 3.18-3.33, 2 La 3.37

## Properties
The total moment comes out at 0.00 Bohr magnetons per cell. The formation energy is -31.7 kJ/mol of atoms. The value obtained for the energy is -78.32 eV/cell.